12
Lattice="7.410 0.145 0.400 0.207 6.920 0.253 0.549 0.353 9.914" Properties=species:S:1:pos:R:3 comment="CsCeSn2Br8 | Alexandria | PBE | relaxed" final_energy_ev_per_atom=-3.612 dos_at_fermi_per_ev_atom=0.70 raw_formation_energy_ev_per_fu=-15.17 pbc="T T T"
Sn 4.069 3.749 2.816
Sn 4.097 3.669 7.752
Br 6.479 1.994 2.469
Br 3.279 2.064 5.748
Br 3.015 2.036 9.792
Br 6.690 2.112 8.258
Br 4.887 5.354 4.820
Br 1.686 5.423 8.099
Br 1.476 5.306 2.310
Br 5.151 5.381 0.775
Cs 0.275 0.176 4.957
Ce 0.000 0.000 0.000

18
Lattice="-1.576 3.883 10.248 9.402 -3.959 2.946 -0.471 6.723 -8.600" Properties=species:S:1:pos:R:3 comment="CsSrCeBr6 | Alexandria | PBE | relaxed" final_energy_ev_per_atom=-3.929 dos_at_fermi_per_ev_atom=0.88 raw_formation_energy_ev_per_fu=-16.86 pbc="T T T"
Br -0.703 4.641 6.617
Br 4.914 2.276 8.377
Br 7.399 3.630 2.265
Br 1.782 5.995 0.505
Br -0.043 3.017 2.329
Br 2.193 2.177 5.494
Br -0.981 7.121 3.132
Br 8.058 2.005 -2.023
Br 5.162 4.470 -0.900
Br 2.441 4.371 -3.783
Br 8.337 -0.474 1.462
Br 5.574 0.652 4.089
Cs 3.587 1.411 0.017
Cs 3.769 5.236 4.577
Sr -0.788 1.941 5.124
Sr 3.913 -0.038 6.597
Ce -1.023 5.303 0.824
Ce -0.235 3.362 -4.300

12
Lattice="-7.011 2.065 -0.162 -2.049 -6.791 0.333 -0.082 0.493 9.710" Properties=species:S:1:pos:R:3 comment="CsSr2CeBr8 | Alexandria | PBE | relaxed" final_energy_ev_per_atom=-3.895 dos_at_fermi_per_ev_atom=0.68 raw_formation_energy_ev_per_fu=-23.20 pbc="T T T"
Br -2.692 -4.691 2.235
Br -6.398 0.170 1.953
Br -6.315 -3.155 9.847
Br -3.354 -0.746 4.882
Br -5.789 -3.488 5.000
Br -2.828 -1.078 0.034
Br -2.745 -4.404 7.929
Br -6.451 0.457 7.647
Ce 0.000 0.000 0.000
Sr -4.592 -1.994 7.359
Sr -4.551 -2.240 2.523
Cs -0.041 0.246 4.855

18
Lattice="8.212 0.000 0.000 -4.106 7.111 0.000 0.000 0.000 14.646" Properties=species:S:1:pos:R:3 comment="CsCeTlBr6 | Alexandria | PBE | relaxed" final_energy_ev_per_atom=-3.650 raw_formation_energy_ev_per_fu=-13.66 pbc="T T T"
Tl 0.000 4.741 3.662
Tl 4.106 2.370 10.985
Br 2.289 4.627 9.361
Br -1.243 2.816 9.361
Br 5.152 0.332 5.285
Br 5.349 4.296 5.285
Br 6.395 2.484 2.038
Br 1.817 2.484 5.285
Br 1.243 2.816 12.608
Br -2.289 4.627 12.608
Br 3.060 0.332 2.038
Br 1.046 6.780 12.608
Br 2.863 4.296 2.038
Br -1.046 6.780 9.361
Cs 0.000 0.000 7.323
Cs 0.000 0.000 0.000
Ce 0.000 4.741 10.985
Ce 4.106 2.370 3.662

20
Lattice="8.001 0.000 0.168 0.000 9.175 0.000 0.312 0.000 11.747" Properties=species:S:1:pos:R:3 comment="CsCeTl2Br6 | Alexandria | PBE | relaxed" final_energy_ev_per_atom=-3.605 dos_at_fermi_per_ev_atom=0.83 raw_formation_energy_ev_per_fu=-14.50 pbc="T T T"
Br 5.795 3.162 11.519
Br 6.923 5.574 2.712
Br 2.894 6.889 4.602
Br 5.235 0.986 3.414
Br 6.674 7.749 6.354
Br 3.078 8.188 8.501
Br 2.518 6.013 0.396
Br 7.050 6.873 10.560
Br 5.419 2.285 7.314
Br 1.639 1.426 5.562
Br 1.390 3.601 9.204
Br 1.263 2.302 1.356
Ce 0.000 4.587 0.000
Ce 4.156 0.000 5.958
Tl 3.958 4.077 2.613
Tl 0.198 8.664 3.344
Tl 4.355 5.098 9.302
Tl 8.115 0.511 8.571
Cs 4.001 0.000 0.084
Cs 0.156 4.587 5.874

12
Lattice="-6.086 -0.990 -4.884 3.243 -4.258 -3.191 -3.794 -7.662 6.292" Properties=species:S:1:pos:R:3 comment="CsCeTl2Br8 | Alexandria | PBE | relaxed" final_energy_ev_per_atom=-3.307 dos_at_fermi_per_ev_atom=0.17 raw_formation_energy_ev_per_fu=-14.78 pbc="T T T"
Cs -1.897 -3.831 3.146
Br -7.517 -8.073 0.011
Br -2.520 -7.552 -1.735
Br -4.118 -5.358 -0.048
Br -5.211 -3.417 -3.784
Br 0.880 -4.837 -1.794
Br -5.471 -11.645 0.433
Br -1.166 -1.265 -2.215
Br -1.426 -9.493 2.001
Ce 0.000 0.000 0.000
Tl -2.262 -4.337 -2.642
Tl -4.376 -8.573 0.859

6
Lattice="-0.526 3.962 1.407 -3.652 0.666 2.043 5.377 -3.379 8.910" Properties=species:S:1:pos:R:3 comment="CeCuBr | Alexandria | PBE | relaxed" final_energy_ev_per_atom=-4.613 dos_at_fermi_per_ev_atom=2.56 raw_formation_energy_ev_per_fu=-2.13 pbc="T T T"
Cu -2.874 1.486 1.884
Cu -1.304 3.141 1.565
Ce 1.396 0.568 9.798
Ce -0.196 0.680 2.561
Br -0.911 1.891 5.324
Br 2.110 -0.643 7.035

11
Lattice="-3.042 -4.412 4.762 6.392 -2.954 1.346 -0.676 7.928 1.518" Properties=species:S:1:pos:R:3 comment="CeCu2Br8 | Alexandria | PBE | relaxed" final_energy_ev_per_atom=-3.277 dos_at_fermi_per_ev_atom=0.64 raw_formation_energy_ev_per_fu=-8.54 pbc="T T T"
Br -0.763 4.931 2.282
Br 1.811 -0.795 2.380
Br 2.294 1.578 4.727
Br 4.451 -2.898 3.756
Br -1.268 2.342 4.797
Br 2.800 4.167 2.213
Br 2.005 -4.590 5.862
Br -0.635 -2.487 4.486
Cu -1.022 -0.084 4.667
Cu 3.695 0.645 2.959
Ce 1.675 -3.683 3.054

4
Lattice="-3.712 0.779 -0.513 -2.626 -2.723 0.584 -2.764 1.783 8.427" Properties=species:S:1:pos:R:3 comment="CeCuBr2 | Alexandria | PBE | relaxed" final_energy_ev_per_atom=-3.741 dos_at_fermi_per_ev_atom=1.73 raw_formation_energy_ev_per_fu=-1.59 pbc="T T T"
Br -2.548 0.978 5.643
Br -6.554 -1.139 2.855
Cu -4.551 -0.080 4.249
Ce 0.000 0.000 0.000

11
Lattice="3.826 0.000 -0.962 0.049 8.991 0.196 0.631 0.542 10.600" Properties=species:S:1:pos:R:3 comment="Ce2CuBr8 | Alexandria | PBE | relaxed" final_energy_ev_per_atom=-4.074 dos_at_fermi_per_ev_atom=1.13 raw_formation_energy_ev_per_fu=-15.47 pbc="T T T"
Br 1.840 0.683 7.316
Br 4.418 2.229 9.480
Br 0.089 7.304 0.354
Br 2.455 4.853 1.675
Br 2.051 4.680 8.159
Br 2.667 8.850 2.518
Br 1.239 3.138 4.926
Br 3.268 6.395 4.908
Ce 0.818 6.647 3.252
Ce 3.689 2.886 6.582
Cu 1.913 0.000 -0.481

18
Lattice="9.117 0.000 -0.899 4.558 5.185 -0.449 -1.641 0.000 13.684" Properties=species:S:1:pos:R:3 comment="CeCu5Br12 | Alexandria | PBE | relaxed" final_energy_ev_per_atom=-3.243 dos_at_fermi_per_ev_atom=0.66 raw_formation_energy_ev_per_fu=-11.88 pbc="T T T"
Br 9.275 3.449 7.309
Br 7.302 2.010 10.806
Br 4.621 0.000 13.042
Br 7.337 0.000 4.569
Br 2.760 1.735 5.027
Br 2.855 0.000 -0.257
Br 7.318 3.450 4.578
Br 9.292 2.010 1.080
Br 4.698 5.185 7.767
Br 4.733 3.174 1.530
Br 4.717 1.735 7.758
Br 2.743 3.174 11.255
Cu 8.297 1.729 5.943
Cu 9.117 3.307 -0.899
Cu 3.738 0.000 6.393
Cu 3.738 3.456 6.392
Cu 4.558 1.878 -0.449
Ce 0.000 0.000 0.000

4
Lattice="3.871 0.000 0.000 1.936 3.352 0.000 1.936 1.117 8.206" Properties=species:S:1:pos:R:3 comment="Ce2CuBr | Alexandria | PBE | relaxed" final_energy_ev_per_atom=-4.868 dos_at_fermi_per_ev_atom=3.01 raw_formation_energy_ev_per_fu=-1.84 pbc="T T T"
Ce 1.936 1.117 1.836
Ce 1.936 1.117 6.379
Cu 3.871 2.235 0.010
Br 3.871 2.235 4.084

no.,ρ (g/cm3)
1,3.77
2,3.05
3,3.58
4,3.72
5,4.47
6,4.22
7,5.29
8,4.64
9,5.42
10,4.42
11,3.68
12,6.61